(1)
# Ce8Ir3Ru2, relaxed, DFT PBE-GGA
# Energy relative to the elements = -0.36 eV/atom
# V = 360.6 Å³/cell
# Total DFT energy (no corrections) = -7.49 eV per atom
data_Ce8Ir3Ru2
_cell_length_a 8.425
_cell_length_b 8.425
_cell_length_c 6.906
_cell_angle_alpha 108.96
_cell_angle_beta 108.96
_cell_angle_gamma 52.10
_space_group_name_H-M_alt 'P 1'
_space_group_IT_number 1
loop_
_space_group_symop_operation_xyz
'x,y,z'
loop_
_atom_site_label
_atom_site_fract_x
_atom_site_fract_y
_atom_site_fract_z
Ce1 0.101 0.101 0.413
Ce2 0.139 0.623 0.092
Ce3 0.351 0.351 0.564
Ce4 0.377 0.861 0.908
Ce5 0.623 0.139 0.092
Ce6 0.649 0.649 0.436
Ce7 0.861 0.377 0.908
Ce8 0.899 0.899 0.587
Ir1 0.000 0.000 0.000
Ir2 0.303 0.697 0.500
Ir3 0.697 0.303 0.500
Ru1 0.255 0.255 0.768
Ru2 0.745 0.745 0.232

(2)
# LiCa3Er3Te8, relaxed, DFT PBE-GGA
# Formation energy (no corrections) = -1.38 eV/atom
# V = 483.5 Å³/cell
# Total DFT energy (no corrections) = -4.50 eV per atom
data_LiCa3Er3Te8
_cell_length_a 8.861
_cell_length_b 8.861
_cell_length_c 8.861
_cell_angle_alpha 59.24
_cell_angle_beta 59.24
_cell_angle_gamma 59.24
_space_group_name_H-M_alt 'P 1'
_space_group_IT_number 1
loop_
_space_group_symop_operation_xyz
'x,y,z'
loop_
_atom_site_label
_atom_site_fract_x
_atom_site_fract_y
_atom_site_fract_z
Li1 0.000 0.000 0.000
Ca1 0.000 0.000 0.500
Ca2 0.000 0.500 0.000
Ca3 0.500 0.000 0.000
Er1 0.000 0.500 0.500
Er2 0.500 0.000 0.500
Er3 0.500 0.500 0.000
Te1 0.247 0.247 0.743
Te2 0.247 0.743 0.247
Te3 0.253 0.253 0.253
Te4 0.257 0.753 0.753
Te5 0.743 0.247 0.247
Te6 0.747 0.747 0.747
Te7 0.753 0.257 0.753
Te8 0.753 0.753 0.257

(3)
# SmTmMnIn, relaxed, DFT PBE-GGA
# Energy relative to the elements = -0.09 eV/atom
# V = 100.4 Å³/cell
# Total DFT energy (no corrections) = -5.36 eV per atom
data_SmTmMnIn
_cell_length_a 5.218
_cell_length_b 5.218
_cell_length_c 5.218
_cell_angle_alpha 60.00
_cell_angle_beta 60.00
_cell_angle_gamma 60.00
_space_group_name_H-M_alt 'P 1'
_space_group_IT_number 1
loop_
_space_group_symop_operation_xyz
'x,y,z'
loop_
_atom_site_label
_atom_site_fract_x
_atom_site_fract_y
_atom_site_fract_z
Sm1 0.000 0.000 0.000
Tm1 0.500 0.500 0.500
Mn1 0.250 0.250 0.250
In1 0.750 0.750 0.750

(4)
# SrSiGe2, relaxed, DFT PBE-GGA
# Formation energy (no corrections) = -0.08 eV/atom
# V = 208.7 Å³/cell
# Total DFT energy (no corrections) = -4.16 eV per atom
data_SrSiGe2
_cell_length_a 9.440
_cell_length_b 9.440
_cell_length_c 9.440
_cell_angle_alpha 150.09
_cell_angle_beta 150.09
_cell_angle_gamma 42.81
_space_group_name_H-M_alt 'P 1'
_space_group_IT_number 1
loop_
_space_group_symop_operation_xyz
'x,y,z'
loop_
_atom_site_label
_atom_site_fract_x
_atom_site_fract_y
_atom_site_fract_z
Sr1 0.000 0.000 0.000
Sr2 0.750 0.250 0.500
Si1 0.250 0.750 0.500
Si2 0.500 0.500 0.000
Ge1 0.264 0.625 0.139
Ge2 0.375 0.514 0.639
Ge3 0.486 0.125 0.861
Ge4 0.875 0.736 0.361

(5)
# Fe3Co4Ge2, relaxed, DFT PBE-GGA
# Energy relative to the elements = -0.14 eV/atom
# V = 105.6 Å³/cell
# Total DFT energy (no corrections) = -7.15 eV per atom
data_Fe3Co4Ge2
_cell_length_a 4.036
_cell_length_b 4.036
_cell_length_c 7.486
_cell_angle_alpha 90.00
_cell_angle_beta 90.00
_cell_angle_gamma 120.00
_space_group_name_H-M_alt 'P 1'
_space_group_IT_number 1
loop_
_space_group_symop_operation_xyz
'x,y,z'
loop_
_atom_site_label
_atom_site_fract_x
_atom_site_fract_y
_atom_site_fract_z
Fe1 0.000 0.000 0.000
Fe2 0.333 0.667 0.443
Fe3 0.667 0.333 0.557
Co1 0.000 0.000 0.329
Co2 0.000 0.000 0.671
Co3 0.333 0.667 0.109
Co4 0.667 0.333 0.891
Ge1 0.333 0.667 0.778
Ge2 0.667 0.333 0.222

(6)
# Pu2CoH, relaxed, DFT PBE-GGA
# V = 59.0 Å³/cell
# ΔE to the lowest computed polymorph = 0.159 eV per atom
# Total DFT energy (no corrections) = -9.59 eV per atom
data_Pu2CoH
_cell_length_a 8.070
_cell_length_b 8.070
_cell_length_c 8.070
_cell_angle_alpha 20.97
_cell_angle_beta 20.97
_cell_angle_gamma 20.97
_space_group_name_H-M_alt 'P 1'
_space_group_IT_number 1
loop_
_space_group_symop_operation_xyz
'x,y,z'
loop_
_atom_site_label
_atom_site_fract_x
_atom_site_fract_y
_atom_site_fract_z
Pu1 0.238 0.238 0.238
Pu2 0.762 0.762 0.762
Co1 0.000 0.000 0.000
H1 0.500 0.500 0.500

(7)
# KPb3, relaxed, DFT PBE-GGA
# Energy relative to the elements = 1.17 eV/atom
# V = 236.0 Å³/cell
# Total DFT energy (no corrections) = -1.89 eV per atom
data_KPb3
_cell_length_a 6.180
_cell_length_b 6.180
_cell_length_c 6.180
_cell_angle_alpha 90.00
_cell_angle_beta 90.00
_cell_angle_gamma 90.00
_space_group_name_H-M_alt 'P 1'
_space_group_IT_number 1
loop_
_space_group_symop_operation_xyz
'x,y,z'
loop_
_atom_site_label
_atom_site_fract_x
_atom_site_fract_y
_atom_site_fract_z
K1 0.000 0.000 0.000
Pb1 0.000 0.000 0.500
Pb2 0.000 0.500 0.000
Pb3 0.500 0.000 0.000

(8)
# In2Hg2As, relaxed, DFT PBE-GGA
# Energy relative to the elements = 0.10 eV/atom
# V = 273.3 Å³/cell
# ΔE to the lowest computed polymorph = 0.000 eV per atom
# Total DFT energy (no corrections) = -2.05 eV per atom
data_In2Hg2As
_cell_length_a 7.307
_cell_length_b 7.307
_cell_length_c 5.118
_cell_angle_alpha 90.00
_cell_angle_beta 90.00
_cell_angle_gamma 90.00
_space_group_name_H-M_alt 'P 1'
_space_group_IT_number 1
loop_
_space_group_symop_operation_xyz
'x,y,z'
loop_
_atom_site_label
_atom_site_fract_x
_atom_site_fract_y
_atom_site_fract_z
In1 0.146 0.354 0.000
In2 0.354 0.854 0.000
In3 0.646 0.146 0.000
In4 0.854 0.646 0.000
Hg1 0.171 0.671 0.500
Hg2 0.329 0.171 0.500
Hg3 0.671 0.829 0.500
Hg4 0.829 0.329 0.500
As1 0.000 0.000 0.000
As2 0.500 0.500 0.000

(9)
# V5Sn3Se12, relaxed, DFT PBE-GGA
# Formation energy (no corrections) = -0.48 eV/atom
# V = 1999.0 Å³/cell
# Total DFT energy (no corrections) = -5.45 eV per atom
data_V5Sn3Se12
_cell_length_a 13.745
_cell_length_b 13.745
_cell_length_c 13.745
_cell_angle_alpha 109.47
_cell_angle_beta 109.47
_cell_angle_gamma 109.47
_space_group_name_H-M_alt 'P 1'
_space_group_IT_number 1
loop_
_space_group_symop_operation_xyz
'x,y,z'
loop_
_atom_site_label
_atom_site_fract_x
_atom_site_fract_y
_atom_site_fract_z
V1 0.000 0.000 0.000
V2 0.000 0.000 0.500
V3 0.000 0.500 0.000
V4 0.000 0.500 0.500
V5 0.125 0.750 0.875
V6 0.125 0.875 0.250
V7 0.250 0.125 0.875
V8 0.250 0.625 0.375
V9 0.375 0.250 0.625
V10 0.375 0.625 0.750
V11 0.500 0.000 0.000
V12 0.500 0.000 0.500
V13 0.500 0.500 0.000
V14 0.500 0.500 0.500
V15 0.625 0.375 0.250
V16 0.625 0.750 0.375
V17 0.750 0.375 0.625
V18 0.750 0.875 0.125
V19 0.875 0.125 0.750
V20 0.875 0.250 0.125
Sn1 0.125 0.250 0.375
Sn2 0.125 0.375 0.750
Sn3 0.250 0.375 0.125
Sn4 0.250 0.875 0.625
Sn5 0.375 0.125 0.250
Sn6 0.375 0.750 0.125
Sn7 0.625 0.250 0.875
Sn8 0.625 0.875 0.750
Sn9 0.750 0.125 0.375
Sn10 0.750 0.625 0.875
Sn11 0.875 0.625 0.250
Sn12 0.875 0.750 0.625
Se1 0.022 0.203 0.117
Se2 0.022 0.319 0.905
Se3 0.085 0.703 0.681
Se4 0.085 0.883 0.405
Se5 0.095 0.617 0.415
Se6 0.095 0.978 0.681
Se7 0.117 0.022 0.203
Se8 0.117 0.595 0.915
Se9 0.181 0.203 0.585
Se10 0.181 0.478 0.595
Se11 0.203 0.117 0.022
Se12 0.203 0.585 0.181
Se13 0.297 0.319 0.915
Se14 0.297 0.478 0.383
Se15 0.319 0.905 0.022
Se16 0.319 0.915 0.297
Se17 0.383 0.297 0.478
Se18 0.383 0.585 0.905
Se19 0.405 0.085 0.883
Se20 0.405 0.819 0.522
Se21 0.415 0.095 0.617
Se22 0.415 0.819 0.797
Se23 0.478 0.383 0.297
Se24 0.478 0.595 0.181
Se25 0.522 0.405 0.819
Se26 0.522 0.617 0.703
Se27 0.585 0.181 0.203
Se28 0.585 0.905 0.383
Se29 0.595 0.181 0.478
Se30 0.595 0.915 0.117
Se31 0.617 0.415 0.095
Se32 0.617 0.703 0.522
Se33 0.681 0.085 0.703
Se34 0.681 0.095 0.978
Se35 0.703 0.522 0.617
Se36 0.703 0.681 0.085
Se37 0.797 0.415 0.819
Se38 0.797 0.883 0.978
Se39 0.819 0.522 0.405
Se40 0.819 0.797 0.415
Se41 0.883 0.405 0.085
Se42 0.883 0.978 0.797
Se43 0.905 0.022 0.319
Se44 0.905 0.383 0.585
Se45 0.915 0.117 0.595
Se46 0.915 0.297 0.319
Se47 0.978 0.681 0.095
Se48 0.978 0.797 0.883

(10)
# Re2PSe, relaxed, DFT PBE-GGA
# Formation energy (no corrections) = 0.65 eV/atom
# V = 61.9 Å³/cell
# ΔE to the lowest computed polymorph = 0.619 eV per atom
# Total DFT energy (no corrections) = -7.80 eV per atom
data_Re2PSe
_cell_length_a 2.894
_cell_length_b 2.894
_cell_length_c 8.348
_cell_angle_alpha 90.00
_cell_angle_beta 90.00
_cell_angle_gamma 117.78
_space_group_name_H-M_alt 'P 1'
_space_group_IT_number 1
loop_
_space_group_symop_operation_xyz
'x,y,z'
loop_
_atom_site_label
_atom_site_fract_x
_atom_site_fract_y
_atom_site_fract_z
Re1 0.000 0.000 0.216
Re2 0.000 0.000 0.784
P1 0.500 0.500 0.000
Se1 0.500 0.500 0.500

(11)
# DyScGa2Au2, relaxed, DFT PBE-GGA
# Energy relative to the elements = -0.76 eV/atom
# V = 119.1 Å³/cell
# Total DFT energy (no corrections) = -4.69 eV per atom
data_DyScGa2Au2
_cell_length_a 4.485
_cell_length_b 4.485
_cell_length_c 6.837
_cell_angle_alpha 90.00
_cell_angle_beta 90.00
_cell_angle_gamma 120.00
_space_group_name_H-M_alt 'P 1'
_space_group_IT_number 1
loop_
_space_group_symop_operation_xyz
'x,y,z'
loop_
_atom_site_label
_atom_site_fract_x
_atom_site_fract_y
_atom_site_fract_z
Dy1 0.000 0.000 0.000
Sc1 0.000 0.000 0.500
Ga1 0.333 0.667 0.722
Ga2 0.667 0.333 0.278
Au1 0.333 0.667 0.275
Au2 0.667 0.333 0.725

(12)
# YTa2VC4, relaxed, DFT PBE-GGA
# Energy relative to the elements = -0.39 eV/atom
# V = 200.5 Å³/cell
# Total DFT energy (no corrections) = -9.91 eV per atom
data_YTa2VC4
_cell_length_a 5.801
_cell_length_b 5.801
_cell_length_c 11.197
_cell_angle_alpha 90.00
_cell_angle_beta 90.00
_cell_angle_gamma 147.85
_space_group_name_H-M_alt 'P 1'
_space_group_IT_number 1
loop_
_space_group_symop_operation_xyz
'x,y,z'
loop_
_atom_site_label
_atom_site_fract_x
_atom_site_fract_y
_atom_site_fract_z
Y1 0.110 0.890 0.750
Y2 0.890 0.110 0.250
Ta1 0.370 0.630 0.540
Ta2 0.370 0.630 0.960
Ta3 0.630 0.370 0.040
Ta4 0.630 0.370 0.460
V1 0.159 0.841 0.250
V2 0.841 0.159 0.750
C1 0.000 0.000 0.000
C2 0.000 0.000 0.500
C3 0.262 0.738 0.114
C4 0.262 0.738 0.386
C5 0.440 0.560 0.750
C6 0.560 0.440 0.250
C7 0.738 0.262 0.614
C8 0.738 0.262 0.886